Record 1
Material: BaRhBr2
Method: DFT, PBE
State: relaxed

Spin magnetization = 0.251 μB/atom
Uncorrected formation energy = -459 meV/atom
Raw total energy = -0.1328 hartree per atom
Offset from the most stable computed form = 0.428 eV/atom

POSCAR file:
```
BaRhBr2
1.0
2.499 -3.244 0.000
2.499 3.244 0.000
0.000 0.000 7.073
Ba Rh Br
1 1 2
Cartesian
0.000 0.000 0.000
0.000 0.000 3.537
2.499 0.000 1.918
2.499 0.000 5.156
```

Record 2
Material: Mg2ZnTc
Method: DFT, PBE
State: relaxed

Spin magnetization = 0.000 μB/atom
ΔE_f = 134 meV/atom
Raw total energy = -0.1313 hartree per atom
Offset from the most stable computed form = 0.049 eV/atom

POSCAR file:
```
Mg2ZnTc
1.0
-1.961 1.961 4.225
1.961 -1.961 4.225
1.961 1.961 -4.225
Mg Zn Tc
2 1 1
Cartesian
1.961 0.000 2.113
0.000 1.961 2.113
0.000 0.000 0.000
0.000 0.000 4.225
```

Record 3
Material: Y3Pt8Rh
Method: DFT, PBE
State: relaxed

Spin magnetization = 0.001 μB/atom
ΔE_f = -863 meV/atom
Raw total energy = -0.2616 hartree per atom

POSCAR file:
```
Y3Pt8Rh
1.0
2.698 1.558 8.793
-2.698 1.558 8.793
0.000 -3.115 8.793
Y Pt Rh
3 8 1
Cartesian
0.000 0.000 0.000
0.000 0.000 3.462
0.000 0.000 16.046
0.000 -1.573 6.004
-1.362 0.786 6.004
-1.350 -0.779 10.385
0.000 0.000 8.188
1.350 -0.779 10.385
0.000 1.558 10.385
1.362 0.786 6.004
0.000 0.000 21.390
0.000 0.000 12.836
```

Record 4
Material: Pa4Bi5H2
Method: DFT, PBE
State: relaxed

Spin magnetization = 0.234 μB/atom
Raw total energy = -0.2137 hartree per atom

POSCAR file:
```
Pa4Bi5H2
1.0
-1.661 4.683 8.722
1.661 -4.683 8.722
1.661 4.683 -8.722
Pa Bi H
4 5 2
Cartesian
0.000 0.000 3.000
1.661 1.608 0.000
0.000 3.075 8.722
0.000 0.000 14.443
1.661 2.924 -2.913
1.661 2.924 2.913
0.000 4.683 0.000
0.000 1.760 5.809
0.000 1.760 11.635
0.000 0.000 0.833
0.000 0.000 16.611
```

Record 5
Material: CdGaBi
Method: DFT, PBE
State: relaxed

Spin magnetization = 0.000 μB/atom
ΔE_f = 104 meV/atom
Raw total energy = -0.0920 hartree per atom

POSCAR file:
```
CdGaBi
1.0
2.708 -7.036 0.000
2.708 7.036 0.000
0.000 0.000 4.420
Cd Ga Bi
2 2 2
Cartesian
2.708 5.863 3.315
2.708 -5.863 1.105
2.708 0.560 1.105
2.708 -0.560 3.315
2.708 3.419 1.105
2.708 -3.419 3.315
```

Record 6
Material: TlHg2TeI
Method: DFT, PBE
State: relaxed

Spin magnetization = 0.000 μB/atom
Uncorrected formation energy = -181 meV/atom
Raw total energy = -0.0630 hartree per atom

POSCAR file:
```
TlHg2TeI
1.0
5.692 0.000 0.000
0.000 5.692 0.000
0.000 0.000 6.958
Tl Hg Te I
1 2 1 1
Cartesian
0.000 0.000 0.000
0.000 2.846 3.479
2.846 0.000 3.479
0.000 0.000 3.479
2.846 2.846 0.000
```

Record 7
Material: Ca2NpN4
Method: DFT, PBE
State: relaxed

Spin magnetization = 0.000 μB/atom
Uncorrected formation energy = -754 meV/atom
Raw total energy = -0.2915 hartree per atom

POSCAR file:
```
Ca2NpN4
1.0
-3.454 3.454 3.891
3.454 -3.454 3.891
3.454 3.454 -3.891
Ca Np N
4 2 8
Cartesian
-0.729 1.727 0.973
1.727 2.725 2.918
0.729 5.181 0.973
-1.727 4.183 2.918
3.454 0.000 1.945
0.000 0.000 3.891
3.067 -1.925 2.321
5.379 -0.387 1.570
3.841 1.529 -0.375
1.529 0.387 1.570
1.529 3.067 0.375
3.841 1.925 2.321
1.925 0.387 4.266
-0.387 1.925 3.515
```

Record 8
Material: KS2ClO
Method: DFT, PBE
State: relaxed

Spin magnetization = 0.242 μB/atom
Uncorrected formation energy = -115 meV/atom
Raw total energy = -0.1230 hartree per atom
Offset from the most stable computed form = 0.000 eV/atom

POSCAR file:
```
KS2ClO
1.0
4.040 0.000 0.000
0.000 4.040 0.000
0.000 0.000 7.595
K S Cl O
1 2 1 1
Cartesian
0.000 0.000 0.000
0.000 2.020 3.798
2.020 0.000 3.798
2.020 2.020 0.000
2.020 2.020 3.798
```

Record 9
Material: SmPuZn4
Method: DFT, PBE
State: relaxed

Spin magnetization = 0.885 μB/atom
ΔE_f = -212 meV/atom
Raw total energy = -0.1557 hartree per atom
Offset from the most stable computed form = 0.000 eV/atom

POSCAR file:
```
SmPuZn4
1.0
0.000 3.893 3.893
3.893 0.000 3.893
3.893 3.893 0.000
Sm Pu Zn
1 1 4
Cartesian
0.000 0.000 0.000
5.840 5.840 5.840
2.918 2.918 2.918
4.869 4.869 2.918
4.869 2.918 4.869
2.918 4.869 4.869
```

Record 10
Material: BaNiRu2
Method: DFT, PBE
State: relaxed

Spin magnetization = 0.008 μB/atom
ΔE_f = 559 meV/atom
Raw total energy = -0.2207 hartree per atom
Offset from the most stable computed form = 0.312 eV/atom

POSCAR file:
```
BaNiRu2
1.0
4.259 0.000 0.000
0.000 4.273 0.000
-1.295 0.000 5.098
Ba Ni Ru
1 1 2
Cartesian
0.000 0.000 0.000
1.482 0.000 2.549
0.382 2.137 3.075
2.582 2.137 2.023
```

Record 11
Material: GaAu2C
Method: DFT, PBE
State: relaxed

Spin magnetization = 0.000 μB/atom
ΔE_f = 1226 meV/atom
Raw total energy = -0.1277 hartree per atom
Offset from the most stable computed form = 0.453 eV/atom

POSCAR file:
```
GaAu2C
1.0
0.000 3.125 3.125
3.125 0.000 3.125
3.125 3.125 0.000
Ga Au C
1 2 1
Cartesian
0.000 0.000 0.000
1.562 1.562 1.562
4.687 4.687 4.687
3.125 3.125 3.125
```

Record 12
Material: Ba2PPtSe
Method: DFT, PBE
State: relaxed

Spin magnetization = 0.131 μB/atom
Uncorrected formation energy = -555 meV/atom
Raw total energy = -0.1584 hartree per atom

POSCAR file:
```
Ba2PPtSe
1.0
6.184 0.000 0.000
0.000 6.184 0.000
0.000 0.000 4.647
Ba P Pt Se
2 1 1 1
Cartesian
0.000 3.092 0.000
3.092 0.000 0.000
0.000 0.000 2.324
3.092 3.092 0.000
3.092 3.092 2.324
```